! Sm5SnAu2, relaxed, DFT PBE; values from VASP
&SYSTEM
  ibrav = 0, nat = 16, ntyp = 3
/
ATOMIC_SPECIES
Sm 150.36 Sm.upf
Sn 118.71 Sn.upf
Au 196.97 Au.upf
CELL_PARAMETERS angstrom
-6.5961 -1.6910 4.6159
-4.3035 -1.7473 -6.7897
7.3893 -4.6955 1.5084
ATOMIC_POSITIONS crystal
Sm 0.5128 0.6982 0.7110
Sm 0.8018 0.9872 0.2890
Sm 0.0000 0.0000 0.0000
Sm 0.5000 0.5000 0.0000
Sm 0.1982 0.0128 0.7110
Sm 0.6982 0.1982 0.7110
Sm 0.0128 0.5128 0.7110
Sm 0.3018 0.8018 0.2890
Sm 0.9872 0.4872 0.2890
Sm 0.4872 0.3018 0.2890
Sn 0.7500 0.7500 0.5000
Sn 0.2500 0.2500 0.5000
Au 0.1343 0.3657 0.0000
Au 0.6343 0.1343 0.0000
Au 0.3657 0.8657 0.0000
Au 0.8657 0.6343 0.0000
! Calculated volume, Å³/cell: 454.4
! E_form, eV/f.u.: -5.116
! DOS at the Fermi energy, states/eV per cell: 18.713
! Total magnetization, μB per atom: 0.00